Record 1
The following is a DFT calculation (PBE) of a relaxed structure of Li4Pu3GeS8.

Geometry as POSCAR:
```
Li4Pu3GeS8
1.0
7.881 0.000 0.000
0.000 7.568 -0.224
-3.941 -3.937 5.574
S Li Pu Ge
8 4 3 1
Cartesian
1.968 1.720 5.391
3.941 -0.056 2.743
5.909 1.911 -0.041
-1.968 1.720 5.391
3.941 3.716 2.626
0.000 3.686 2.606
0.000 -0.085 2.724
1.972 1.911 -0.041
3.941 0.000 0.000
-1.970 -1.969 2.787
1.970 -1.969 2.787
0.000 0.000 0.000
3.941 3.784 -0.112
1.970 1.815 2.675
-1.970 1.815 2.675
0.000 3.784 -0.112
```

Properties
space group = R-3m
uncorrected formation energy = -1330 meV/atom
crystal system = trigonal



Record 2
The following is a DFT calculation (PBE) of a relaxed structure of LiLaPaN3.

Geometry as POSCAR:
```
LiLaPaN3
1.0
3.557 0.000 0.000
-1.779 5.570 0.000
0.000 0.000 8.796
N La Li Pa
6 2 2 2
Cartesian
1.779 1.336 0.559
0.000 4.234 4.957
0.000 4.234 8.237
1.779 4.694 2.199
0.000 0.876 6.597
1.779 1.336 3.839
1.779 2.642 6.597
0.000 2.928 2.199
1.779 0.296 2.199
0.000 5.274 6.597
0.000 0.000 4.398
0.000 0.000 0.000
```

Properties
space group = Cmcm
uncorrected formation energy = -1346 meV/atom
crystal system = orthorhombic



Record 3
The following is a DFT calculation (PBE) of a relaxed structure of Sr2ZrBr.

Geometry as POSCAR:
```
Sr2ZrBr
1.0
7.072 0.004 -0.001
3.559 6.111 0.001
-4.460 -4.545 3.076
Sr Zr Br
2 1 1
Cartesian
3.777 -0.849 1.538
0.398 0.229 0.000
4.894 2.815 0.000
2.419 2.433 1.539
```

Properties
distance to the lowest polymorph of the same formula = 0.246 eV per atom
space group = Imm2
uncorrected formation energy = -134 meV/atom
crystal system = orthorhombic



Record 4
The following is a DFT calculation (PBE) of a relaxed structure of IrOsCl2.

Geometry as POSCAR:
```
IrOsCl2
1.0
-2.798 -0.161 -0.664
0.529 -2.281 -1.677
-1.123 -4.554 5.841
Ir Cl Os
1 2 1
Cartesian
-1.415 -2.360 0.290
-1.105 -4.478 5.743
-0.580 -2.353 3.017
-1.977 -4.637 3.210
```

Properties
distance to the lowest polymorph of the same formula = 1.449 eV per atom
space group = P4/mmm
uncorrected formation energy = 1579 meV/atom
crystal system = tetragonal



Record 5
The following is a DFT calculation (PBE) of a relaxed structure of BaHo2ReN4.

Geometry as POSCAR:
```
BaHo2ReN4
1.0
3.481 0.000 0.000
-1.740 6.171 0.000
0.000 0.000 12.168
N Ho Ba Re
8 4 2 2
Cartesian
0.000 3.150 4.778
1.740 1.388 3.042
0.000 0.000 6.084
1.740 3.020 7.390
0.000 3.150 1.306
1.740 3.020 10.861
0.000 0.000 0.000
0.000 4.783 9.126
1.740 1.591 0.489
0.000 4.580 6.573
1.740 1.591 5.594
0.000 4.580 11.678
0.000 0.826 9.126
1.740 5.345 3.042
1.740 3.758 9.126
0.000 2.413 3.042
```

Properties
space group = Cmcm
uncorrected formation energy = -987 meV/atom
crystal system = orthorhombic



Record 6
The following is a DFT calculation (PBE) of a relaxed structure of Tm3Tl2Rh.

Geometry as POSCAR:
```
Tm3Tl2Rh
1.0
5.145 0.004 0.022
2.579 7.593 0.011
-0.031 0.000 7.411
Rh Tm Tl
2 6 4
Cartesian
2.354 2.422 0.010
5.338 5.175 7.433
5.132 2.685 1.659
2.549 0.002 5.695
2.560 4.913 5.784
2.578 4.913 1.649
5.115 2.685 5.795
5.144 7.595 1.748
0.000 0.000 0.000
-0.016 0.000 3.706
5.156 5.097 3.727
2.537 2.500 3.716
```

Properties
distance to the lowest polymorph of the same formula = 0.000 eV per atom
space group = P2/m
ΔE_f = -3.0 eV per formula unit
crystal system = monoclinic



Record 7
The following is a DFT calculation (PBE) of a relaxed structure of Ba2NaSrCu.

Geometry as POSCAR:
```
Ba2NaSrCu
1.0
6.351 0.000 0.000
0.000 6.351 0.000
0.000 0.000 6.149
Na Sr Ba Cu
1 1 2 1
Cartesian
3.175 3.175 3.074
0.000 0.000 3.074
0.000 3.175 0.000
3.175 0.000 0.000
0.000 0.000 0.000
```

Properties
distance to the lowest polymorph of the same formula = 0.000 eV per atom
space group = P4/mmm
ΔE_f = 0.1 eV per formula unit
crystal system = tetragonal



Record 8
The following is a DFT calculation (PBE) of a relaxed structure of NaMg2CdIn2.

Geometry as POSCAR:
```
NaMg2CdIn2
1.0
4.651 0.000 0.000
0.000 6.457 0.000
0.000 0.000 9.587
Mg In Na Cd
4 4 2 2
Cartesian
0.000 2.458 1.610
0.000 5.686 7.978
2.326 4.042 9.577
2.326 0.813 0.010
0.000 2.435 8.109
2.326 0.924 3.129
2.326 4.153 6.458
0.000 5.664 1.478
0.000 2.504 4.883
0.000 5.732 4.705
2.326 4.074 3.075
2.326 0.846 6.513
```

Properties
space group = Pmc2_1
ΔE_f = -0.5 eV per formula unit
crystal system = orthorhombic



For reference, theoretical density by record: 5.556, 7.983, 4.326, 12.113, 9.015, 11.685, 3.005, 4.771 Mg/m³.
For reference, uncorrected energy by record: -6.848, -8.232, -3.531, -4.367, -8.091, -4.757, -2.178, -1.897 eV/atom.